[1]
The following is a GGA-PBE calculation of a relaxed CaPm7Ir4 crystal, from Alexandria.

a b c (Å): 5.461 8.818 7.479
angles (deg): 77.59 68.59 71.96
Atoms (fractional coordinates):
Ca (0.000, 0.000, 0.000)
Pm (0.790, 0.873, 0.548)
Pm (0.210, 0.127, 0.452)
Pm (0.087, 0.623, 0.203)
Pm (0.913, 0.377, 0.797)
Pm (0.334, 0.618, 0.714)
Pm (0.500, 0.000, 0.000)
Pm (0.666, 0.382, 0.286)
Ir (0.567, 0.214, 0.652)
Ir (0.433, 0.786, 0.348)
Ir (0.699, 0.675, 0.927)
Ir (0.301, 0.325, 0.073)

Properties
Calculated formation energy: -0.30 eV per atom
Density of states at the Fermi level: 9.446 states/eV/cell

[2]
The following is a GGA-PBE calculation of a relaxed BaOsC crystal, from Alexandria.

a b c (Å): 3.865 3.865 9.735
angles (deg): 90.00 90.00 90.00
Atoms (fractional coordinates):
C (0.500, 0.000, 0.586)
C (0.000, 0.500, 0.414)
Ba (0.500, 0.000, 0.215)
Ba (0.000, 0.500, 0.785)
Os (0.500, 0.500, 0.500)
Os (0.000, 0.000, 0.500)

Properties
Calculated formation energy: 0.32 eV per atom
Density of states at the Fermi level: 4.682 states/eV/cell

[3]
The following is a GGA-PBE calculation of a relaxed BeOs2Br crystal, from Alexandria.

a b c (Å): 2.899 2.899 8.232
angles (deg): 90.00 90.00 90.00
Atoms (fractional coordinates):
Be (0.000, 0.000, 0.399)
Os (0.000, 0.000, 0.044)
Os (0.500, 0.500, 0.247)
Br (0.500, 0.500, 0.810)

Properties
Density of states at the Fermi level: 1.984 states/eV/cell
Energy above the lowest structure with this stoichiometry: 5 meV/atom

[4]
The following is a GGA-PBE calculation of a relaxed TlHSe2 crystal, from Alexandria.

a b c (Å): 5.649 5.649 6.883
angles (deg): 65.77 65.77 90.00
Atoms (fractional coordinates):
H (0.500, 0.500, 0.000)
H (0.250, 0.750, 0.500)
Tl (0.000, 0.000, 0.000)
Tl (0.750, 0.250, 0.500)
Se (0.547, 0.125, 0.250)
Se (0.203, 0.625, 0.250)
Se (0.375, 0.453, 0.750)
Se (0.875, 0.797, 0.750)

Properties
Density of states at the Fermi level: 0.143 states/eV/cell
Energy above the lowest structure with this stoichiometry: 302 meV/atom

[5]
The following is a GGA-PBE calculation of a relaxed NdVPt6 crystal, from Alexandria.

a b c (Å): 3.899 3.899 9.846
angles (deg): 90.00 90.00 90.00
Atoms (fractional coordinates):
Nd (0.000, 0.000, 0.000)
V (0.000, 0.000, 0.500)
Pt (0.500, 0.000, 0.666)
Pt (0.000, 0.500, 0.666)
Pt (0.500, 0.500, 0.131)
Pt (0.500, 0.500, 0.869)
Pt (0.000, 0.500, 0.334)
Pt (0.500, 0.000, 0.334)

Properties
Calculated formation energy: -0.51 eV per atom
Density of states at the Fermi level: 4.826 states/eV/cell

[6]
The following is a GGA-PBE calculation of a relaxed NaMgCd2Ni crystal, from Alexandria.

a b c (Å): 5.039 5.039 4.830
angles (deg): 90.00 90.00 90.00
Atoms (fractional coordinates):
Ni (0.000, 0.000, 0.000)
Mg (0.000, 0.000, 0.500)
Na (0.500, 0.500, 0.500)
Cd (0.000, 0.500, 0.000)
Cd (0.500, 0.000, 0.000)

Properties
Calculated formation energy: 0.02 eV per atom
Density of states at the Fermi level: 2.007 states/eV/cell

[7]
The following is a GGA-PBE calculation of a relaxed CeDy6In3 crystal, from Alexandria.

a b c (Å): 7.736 9.192 9.192
angles (deg): 110.53 90.00 90.00
Last column: magnetic moment on the atom in μB.
Atoms (fractional coordinates):
Ce (0.084, 0.223, 0.777)  0.79
Ce (0.584, 0.777, 0.223)  0.79
Dy (0.107, 0.766, 0.698)  0.01
Dy (0.607, 0.698, 0.766)  0.01
Dy (0.292, 0.546, 0.925)  0.05
Dy (0.792, 0.925, 0.546)  0.05
Dy (0.299, 0.946, 0.054)  0.05
Dy (0.624, 0.299, 0.701)  0.05
Dy (0.124, 0.701, 0.299)  0.05
Dy (0.799, 0.054, 0.946)  0.05
Dy (0.292, 0.075, 0.454)  0.05
Dy (0.792, 0.454, 0.075)  0.05
Dy (0.107, 0.302, 0.234)  0.01
Dy (0.607, 0.234, 0.302)  0.01
In (0.431, 0.985, 0.724)  0.00
In (0.931, 0.724, 0.985)  0.00
In (0.319, 0.447, 0.553)  0.00
In (0.819, 0.553, 0.447)  0.00
In (0.931, 0.015, 0.276)  0.00
In (0.431, 0.276, 0.015)  0.00

Properties
Calculated formation energy: -0.11 eV per atom
Density of states at the Fermi level: 32.426 states/eV/cell

[8]
The following is a GGA-PBE calculation of a relaxed KTl2AgCl5 crystal, from Alexandria.

a b c (Å): 4.440 9.308 13.842
angles (deg): 90.00 90.00 103.80
Last column: magnetic moment on the atom in μB.
Atoms (fractional coordinates):
K (0.785, 0.570, 0.518)  0.00
K (0.215, 0.430, 0.018)  0.00
Tl (0.851, 0.701, 0.799)  0.01
Tl (0.096, 0.191, 0.689)  0.00
Tl (0.149, 0.299, 0.299)  0.01
Tl (0.904, 0.809, 0.189)  0.00
Ag (0.522, 0.043, 0.946)  0.29
Ag (0.478, 0.957, 0.446)  0.29
Cl (0.391, 0.781, 0.003)  0.11
Cl (0.650, 0.300, 0.880)  0.12
Cl (0.476, 0.951, 0.770)  0.10
Cl (0.272, 0.543, 0.675)  0.01
Cl (0.954, 0.908, 0.545)  0.11
Cl (0.609, 0.219, 0.503)  0.11
Cl (0.350, 0.700, 0.380)  0.12
Cl (0.524, 0.049, 0.270)  0.10
Cl (0.728, 0.457, 0.175)  0.01
Cl (0.046, 0.092, 0.045)  0.11

Properties
Density of states at the Fermi level: 5.813 states/eV/cell
Calculated total energy: -2.97 eV/atom